# 1
Sm2BiP | PBE-GGA | relaxed

total moment: 0.000 μB/atom

Unit cell a=8.046 b=8.046 c=8.046 alpha=29.95 beta=29.95 gamma=29.95
Element x y z (fractional)
Sm (0.000, 0.000, 0.000)
Sm (0.194, 0.194, 0.194)
Bi (0.430, 0.430, 0.430)
P (0.599, 0.599, 0.599)

# 2
MgSc5Ag3 | PBE-GGA | relaxed

total moment: 0.000 μB/atom

Unit cell a=8.502 b=8.502 c=6.165 alpha=90.00 beta=90.00 gamma=120.00
Element x y z (fractional)
Mg (0.000, 0.000, 0.000)
Mg (0.000, 0.000, 0.500)
Sc (0.000, 0.330, 0.250)
Sc (0.000, 0.670, 0.750)
Sc (0.330, 0.000, 0.250)
Sc (0.330, 0.330, 0.750)
Sc (0.333, 0.667, 0.000)
Sc (0.333, 0.667, 0.500)
Sc (0.667, 0.333, 0.000)
Sc (0.667, 0.333, 0.500)
Sc (0.670, 0.000, 0.750)
Sc (0.670, 0.670, 0.250)
Ag (0.000, 0.341, 0.750)
Ag (0.000, 0.659, 0.250)
Ag (0.341, 0.000, 0.750)
Ag (0.341, 0.341, 0.250)
Ag (0.659, 0.000, 0.250)
Ag (0.659, 0.659, 0.750)

Number 1: formation energy from the elements -1.1271 eV/atom, DOS(E_F) 3.00 states/eV/f.u.. Number 2: formation energy from the elements -0.1394 eV/atom, DOS(E_F) 12.18 states/eV/f.u..